Compound: Tm2SbTe
Source: Alexandria via LeMat-Bulk
Functional: PBE-GGA
Structure: relaxed

Cell lengths 4.361, 7.170, 7.514 Å; angles 90.00, 90.00, 90.00 degrees
Sites, in units of the cell vectors:
Sb (0.750, 0.250, 0.087)
Tm (0.250, 0.001, 0.240)
Te (0.250, 0.250, 0.581)
Tm (0.250, 0.499, 0.240)
Sb (0.250, 0.750, 0.913)
Tm (0.750, 0.999, 0.760)
Te (0.750, 0.750, 0.419)
Tm (0.750, 0.501, 0.760)

Calculated values
DOS(E_F) = 0.48 states/eV/atom
excess energy over the best structure of this formula in the dataset = 17 meV per atom
formation energy from raw total energies = -1155 meV per atom
space group = Pmmn

***

Compound: LiYPb
Source: Alexandria via LeMat-Bulk
Functional: PBE-GGA
Structure: relaxed

Cell lengths 8.273, 3.699, 5.494 Å; angles 90.00, 70.59, 90.00 degrees
Sites, in units of the cell vectors:
Li (0.867, 0.500, 0.279)
Y (0.500, 0.500, 0.000)
Pb (0.836, 0.000, 0.784)
Y (0.500, 0.000, 0.500)
Pb (0.164, 0.000, 0.216)
Li (0.133, 0.500, 0.721)

Calculated values
E_form = -0.16 eV/atom
DOS(E_F) = 0.78 states/eV/atom
space group = P2/m

***

Compound: CePu3U4P8
Source: Alexandria via LeMat-Bulk
Functional: PBE-GGA
Structure: relaxed

Cell lengths 7.937, 7.945, 7.922 Å; angles 119.69, 120.06, 90.00 degrees
Site moments in Bohr magnetons follow the coordinates.
Sites, in units of the cell vectors:
P (0.247, 0.244, 0.495)  -0.07
P (0.254, 0.758, 0.508)  -0.06
P (0.250, 0.241, 0.996)  -0.01
P (0.746, 0.241, 0.996)  -0.01
P (0.753, 0.756, 0.505)  -0.07
Ce (0.000, 0.500, 0.000)  -0.18
U (0.000, 0.000, 0.500)  1.75
P (0.750, 0.759, 0.004)  -0.01
U (0.500, 0.000, 0.000)  -1.67
P (0.254, 0.759, 0.004)  -0.01
P (0.746, 0.242, 0.492)  -0.06
Pu (0.500, 0.500, 0.000)  -5.01
U (0.500, 0.000, 0.500)  1.75
Pu (0.500, 0.500, 0.500)  4.99
Pu (0.000, 0.500, 0.500)  4.99
U (0.000, 0.000, 0.000)  1.72

Calculated values
E_form = -1.09 eV/atom
DOS(E_F) = 3.13 states/eV/atom
space group = C2/m

***

Compound: Mg12In3Hg
Source: Alexandria via LeMat-Bulk
Functional: PBE-GGA
Structure: relaxed

Cell lengths 4.472, 4.472, 17.967 Å; angles 90.00, 90.00, 90.00 degrees
Sites, in units of the cell vectors:
Mg (0.000, 0.500, 0.878)
Mg (0.000, 0.500, 0.373)
Mg (0.500, 0.000, 0.627)
In (0.000, 0.000, 0.247)
Mg (0.500, 0.500, 0.247)
Mg (0.500, 0.500, 0.753)
Mg (0.500, 0.000, 0.122)
Hg (0.000, 0.000, 0.000)
Mg (0.500, 0.500, 0.000)
Mg (0.000, 0.500, 0.627)
Mg (0.000, 0.500, 0.122)
Mg (0.500, 0.000, 0.878)
Mg (0.500, 0.500, 0.500)
In (0.000, 0.000, 0.500)
In (0.000, 0.000, 0.753)
Mg (0.500, 0.000, 0.373)

Calculated values
E_form = -0.09 eV/atom
DOS(E_F) = 0.46 states/eV/atom
space group = P4/mmm

***

Compound: Li2MoBr2
Source: Alexandria via LeMat-Bulk
Functional: PBE-GGA
Structure: relaxed

Cell lengths 7.107, 7.107, 7.107 Å; angles 142.07, 142.07, 54.72 degrees
Site moments in Bohr magnetons follow the coordinates.
Sites, in units of the cell vectors:
Br (0.659, 0.659, 0.000)  0.07
Li (0.750, 0.250, 0.500)  0.01
Li (0.250, 0.750, 0.500)  0.01
Mo (0.000, 0.000, 0.000)  4.20
Br (0.341, 0.341, 0.000)  0.07

Calculated values
DOS(E_F) = 0.19 states/eV/atom
formation energy from raw total energies = -7 meV per atom
space group = I4/mmm

***

Compound: Ac2Sm
Source: Alexandria via LeMat-Bulk
Functional: PBE-GGA
Structure: relaxed

Cell lengths 3.909, 3.909, 8.545 Å; angles 103.22, 103.22, 90.00 degrees
Sites, in units of the cell vectors:
Ac (0.339, 0.339, 0.678)
Sm (0.000, 0.000, 0.000)
Ac (0.661, 0.661, 0.322)

Calculated values
E_form = 0.04 eV/atom
DOS(E_F) = 1.86 states/eV/atom
excess energy over the best structure of this formula in the dataset = 0 meV per atom
space group = I4/mmm

***

Compound: TlVN3
Source: Alexandria via LeMat-Bulk
Functional: PBE-GGA
Structure: relaxed

Cell lengths 4.231, 4.231, 4.231 Å; angles 90.00, 90.00, 90.00 degrees
Site moments in Bohr magnetons follow the coordinates.
Sites, in units of the cell vectors:
Tl (0.000, 0.000, 0.000)  -0.01
N (0.500, 0.000, 0.000)  -0.67
V (0.500, 0.500, 0.500)  2.67
N (0.000, 0.000, 0.500)  -0.67
N (0.000, 0.500, 0.000)  -0.67

Calculated values
DOS(E_F) = 0.99 states/eV/atom
formation energy from raw total energies = 2392 meV per atom
space group = Pm-3m

***

Compound: Na2MgRh
Source: Alexandria via LeMat-Bulk
Functional: PBE-GGA
Structure: relaxed

Cell lengths 8.244, 8.244, 6.409 Å; angles 49.97, 49.97, 90.00 degrees
Sites, in units of the cell vectors:
Na (0.875, 0.909, 0.750)
Mg (0.250, 0.750, 0.500)
Mg (0.500, 0.500, 0.000)
Na (0.375, 0.341, 0.750)
Na (0.091, 0.625, 0.250)
Rh (0.000, 0.000, 0.000)
Rh (0.750, 0.250, 0.500)
Na (0.659, 0.125, 0.250)

Calculated values
E_form = 0.37 eV/atom
DOS(E_F) = 0.56 states/eV/atom
space group = I-42d

***

Compound: Ca5Ir2N6
Source: Alexandria via LeMat-Bulk
Functional: PBE-GGA
Structure: relaxed

Cell lengths 6.050, 6.050, 12.454 Å; angles 78.42, 78.42, 67.45 degrees
Sites, in units of the cell vectors:
N (0.705, 0.712, 0.595)
N (0.003, 0.085, 0.127)
Ca (0.959, 0.717, 0.223)
N (0.915, 0.997, 0.373)
Ir (0.164, 0.299, 0.053)
Ir (0.299, 0.164, 0.553)
Ir (0.836, 0.701, 0.947)
Ca (0.377, 0.623, 0.750)
N (0.712, 0.705, 0.095)
Ca (0.717, 0.959, 0.723)
Ir (0.701, 0.836, 0.447)
N (0.085, 0.003, 0.627)
N (0.295, 0.288, 0.405)
Ca (0.682, 0.197, 0.001)
Ca (0.283, 0.041, 0.277)
N (0.675, 0.594, 0.860)
Ca (0.041, 0.283, 0.777)
N (0.288, 0.295, 0.905)
Ca (0.803, 0.318, 0.499)
N (0.997, 0.915, 0.873)
N (0.406, 0.325, 0.640)
Ca (0.623, 0.377, 0.250)
Ca (0.197, 0.682, 0.501)
N (0.594, 0.675, 0.360)
Ca (0.318, 0.803, 0.999)
N (0.325, 0.406, 0.140)

Calculated values
DOS(E_F) = 0.44 states/eV/atom
formation energy from raw total energies = -474 meV per atom
space group = C2/c

***

Compound: CaEuAu
Source: Alexandria via LeMat-Bulk
Functional: PBE-GGA
Structure: relaxed

Cell lengths 3.730, 3.730, 7.145 Å; angles 105.13, 105.13, 90.00 degrees
Site moments in Bohr magnetons follow the coordinates.
Sites, in units of the cell vectors:
Ca (0.298, 0.298, 0.597)  0.03
Eu (0.032, 0.032, 0.064)  6.91
Au (0.670, 0.670, 0.340)  0.01

Calculated values
E_form = -0.55 eV/atom
DOS(E_F) = 3.11 states/eV/atom
excess energy over the best structure of this formula in the dataset = 0 meV per atom
space group = I4mm

***

Compound: KNbTc3
Source: Alexandria via LeMat-Bulk
Functional: PBE-GGA
Structure: relaxed

Cell lengths 4.902, 4.902, 4.902 Å; angles 90.00, 90.00, 90.00 degrees
Site moments in Bohr magnetons follow the coordinates.
Sites, in units of the cell vectors:
K (0.500, 0.500, 0.500)  0.01
Tc (0.500, 0.000, 0.000)  1.45
Tc (0.000, 0.500, 0.000)  1.36
Nb (0.000, 0.000, 0.000)  -0.28
Tc (0.000, 0.000, 0.500)  1.32

Calculated values
E_form = 1.72 eV/atom
DOS(E_F) = 1.47 states/eV/atom
excess energy over the best structure of this formula in the dataset = 0 meV per atom
space group = Pm-3m

***

Compound: NaNpO3
Source: Alexandria via LeMat-Bulk
Functional: PBE-GGA
Structure: relaxed

Cell lengths 5.894, 5.894, 10.724 Å; angles 90.00, 90.00, 120.00 degrees
Site moments in Bohr magnetons follow the coordinates.
Sites, in units of the cell vectors:
O (0.708, 0.048, 0.353)  -0.09
O (0.292, 0.952, 0.647)  -0.09
Np (0.333, 0.667, 0.750)  2.03
O (0.708, 0.660, 0.147)  -0.09
O (0.660, 0.708, 0.647)  -0.09
Np (0.000, 0.000, 0.250)  2.43
O (0.952, 0.292, 0.147)  -0.09
Na (0.333, 0.667, 0.064)  0.00
Np (0.667, 0.333, 0.250)  2.03
O (0.340, 0.292, 0.353)  -0.09
O (0.660, 0.952, 0.853)  -0.09
O (0.292, 0.340, 0.853)  -0.09
Np (0.000, 0.000, 0.750)  2.43
Na (0.667, 0.333, 0.564)  0.00
O (0.952, 0.660, 0.353)  -0.09
O (0.048, 0.340, 0.647)  -0.09
Na (0.667, 0.333, 0.936)  0.00
Na (0.333, 0.667, 0.436)  0.00
O (0.048, 0.708, 0.853)  -0.09
O (0.340, 0.048, 0.147)  -0.09

Calculated values
DOS(E_F) = 1.45 states/eV/atom
formation energy from raw total energies = -2571 meV per atom
space group = P-31c

***

Compound: Th3Ga2Ru
Source: Alexandria via LeMat-Bulk
Functional: PBE-GGA
Structure: relaxed

Cell lengths 5.958, 7.690, 7.923 Å; angles 104.11, 112.09, 90.00 degrees
Sites, in units of the cell vectors:
Ru (0.000, 0.750, 0.000)
Ga (0.319, 0.912, 0.638)
Th (0.143, 0.573, 0.286)
Ga (0.319, 0.412, 0.638)
Th (0.857, 0.927, 0.714)
Ga (0.681, 0.088, 0.362)
Ga (0.681, 0.588, 0.362)
Ru (0.000, 0.250, 0.000)
Th (0.143, 0.073, 0.286)
Th (0.857, 0.427, 0.714)
Th (0.500, 0.750, 0.000)
Th (0.500, 0.250, 0.000)

Calculated values
E_form = -0.29 eV/atom
DOS(E_F) = 1.17 states/eV/atom
excess energy over the best structure of this formula in the dataset = 198 meV per atom
space group = C2/m

***

Compound: BaTcS2
Source: Alexandria via LeMat-Bulk
Functional: PBE-GGA
Structure: relaxed

Cell lengths 4.424, 6.589, 8.138 Å; angles 109.93, 105.08, 96.04 degrees
Sites, in units of the cell vectors:
Ba (0.603, 0.162, 0.812)
Tc (0.247, 0.442, 0.410)
S (0.715, 0.702, 0.886)
S (0.285, 0.298, 0.114)
S (0.034, 0.757, 0.469)
Tc (0.753, 0.558, 0.590)
S (0.966, 0.243, 0.531)
Ba (0.397, 0.838, 0.188)

Calculated values
DOS(E_F) = 0.76 states/eV/atom
excess energy over the best structure of this formula in the dataset = 0 meV per atom
formation energy from raw total energies = -1117 meV per atom
space group = P-1

***

Compound: YSiAs3
Source: Alexandria via LeMat-Bulk
Functional: PBE-GGA
Structure: relaxed

Cell lengths 5.367, 5.367, 5.367 Å; angles 90.00, 90.00, 90.00 degrees
Sites, in units of the cell vectors:
As (0.500, 0.000, 0.000)
Y (0.000, 0.000, 0.000)
As (0.000, 0.000, 0.500)
As (0.000, 0.500, 0.000)
Si (0.500, 0.500, 0.500)

Calculated values
DOS(E_F) = 0.90 states/eV/atom
excess energy over the best structure of this formula in the dataset = 804 meV per atom
formation energy from raw total energies = 798 meV per atom
space group = Pm-3m

***

Compound: Cr2AsRu
Source: Alexandria via LeMat-Bulk
Functional: PBE-GGA
Structure: relaxed

Cell lengths 8.280, 8.280, 8.280 Å; angles 19.10, 19.10, 19.10 degrees
Site moments in Bohr magnetons follow the coordinates.
Sites, in units of the cell vectors:
Cr (0.001, 0.001, 0.001)  0.31
Cr (0.499, 0.499, 0.499)  0.31
As (0.750, 0.750, 0.750)  0.00
Ru (0.250, 0.250, 0.250)  -0.06

Calculated values
E_form = 0.25 eV/atom
DOS(E_F) = 1.51 states/eV/atom
space group = R-3m

***

Compound: Ca3CdF8
Source: Alexandria via LeMat-Bulk
Functional: PBE-GGA
Structure: relaxed

Cell lengths 5.506, 5.506, 5.506 Å; angles 90.00, 90.00, 90.00 degrees
Sites, in units of the cell vectors:
F (0.250, 0.750, 0.750)
F (0.750, 0.250, 0.250)
Ca (0.500, 0.000, 0.500)
F (0.750, 0.250, 0.750)
F (0.250, 0.250, 0.250)
Cd (0.000, 0.000, 0.000)
F (0.250, 0.250, 0.750)
F (0.250, 0.750, 0.250)
Ca (0.500, 0.500, 0.000)
F (0.750, 0.750, 0.750)
Ca (0.000, 0.500, 0.500)
F (0.750, 0.750, 0.250)

Calculated values
DOS(E_F) = 0.00 states/eV/atom
formation energy from raw total energies = -3507 meV per atom
space group = Pm-3m

***

Compound: LiHg2F4
Source: Alexandria via LeMat-Bulk
Functional: PBE-GGA
Structure: relaxed

Cell lengths 5.729, 5.489, 7.384 Å; angles 90.00, 115.36, 90.00 degrees
Sites, in units of the cell vectors:
F (0.054, 0.750, 0.896)
Hg (0.515, 0.750, 0.940)
F (0.427, 0.509, 0.297)
F (0.020, 0.250, 0.647)
F (0.946, 0.250, 0.104)
Hg (0.485, 0.250, 0.060)
Hg (0.778, 0.750, 0.553)
F (0.980, 0.750, 0.353)
Li (0.843, 0.250, 0.819)
Li (0.157, 0.750, 0.181)
F (0.427, 0.991, 0.297)
F (0.573, 0.491, 0.703)
F (0.573, 0.009, 0.703)
Hg (0.222, 0.250, 0.447)

Calculated values
DOS(E_F) = 0.13 states/eV/atom
formation energy from raw total energies = -1678 meV per atom
space group = P2_1/m

***

Compound: CsAcCuO2
Source: Alexandria via LeMat-Bulk
Functional: PBE-GGA
Structure: relaxed

Cell lengths 6.044, 8.003, 7.687 Å; angles 115.33, 90.00, 90.00 degrees
Sites, in units of the cell vectors:
O (0.279, 0.098, 0.047)
Cs (0.845, 0.500, 0.750)
Ac (0.505, 0.000, 0.250)
Cu (0.000, 0.000, 0.000)
O (0.279, 0.902, 0.453)
O (0.721, 0.098, 0.547)
Cu (0.000, 0.000, 0.500)
Cs (0.155, 0.500, 0.250)
Ac (0.495, 0.000, 0.750)
O (0.721, 0.902, 0.953)

Calculated values
DOS(E_F) = 0.28 states/eV/atom
formation energy from raw total energies = -1647 meV per atom
space group = P2/c

***

Compound: LiTbGdSi
Source: Alexandria via LeMat-Bulk
Functional: PBE-GGA
Structure: relaxed

Cell lengths 5.003, 5.003, 5.003 Å; angles 60.00, 60.00, 60.00 degrees
Site moments in Bohr magnetons follow the coordinates.
Sites, in units of the cell vectors:
Gd (0.000, 0.000, 0.000)  7.11
Li (0.250, 0.250, 0.250)  0.01
Tb (0.500, 0.500, 0.500)  0.07
Si (0.750, 0.750, 0.750)  -0.03

Calculated values
DOS(E_F) = 0.73 states/eV/atom
formation energy from raw total energies = -357 meV per atom
space group = F-43m